P | PrScTe3: optimized geometry, PBE.

The density of states at the Fermi level is 0.07 states/eV/atom. The total magnetization is 0.000 μB/atom.

The structure belongs to space group Pnma (No. 62); the cell edges are 9.1075, 4.3394 and 15.2608 Å and the angles 90.00°, 90.00° and 90.00°. The inequivalent atoms are Pr at (0.0955, 0.2500, 0.1728), Sc at (0.1550, 0.7500, 0.4526), Te at (0.0240, 0.7500, 0.6212), Te at (0.1538, 0.7500, 0.0130) and Te at (0.1873, 0.2500, 0.7890).


Q | PrScTe3: optimized geometry, PBE.

The total magnetization is 0.000 μB/atom.

The structure belongs to space group P2_1/c (No. 14); the cell edges are 9.9552, 8.3963 and 9.4321 Å and the angles 90.00°, 116.74° and 90.00°. The inequivalent atoms are Pr at (0.1110, 0.2099, 0.0532), Sc at (0.3114, 0.6111, 0.9202), Te at (0.0007, 0.5064, 0.7940), Te at (0.2551, 0.6512, 0.6059) and Te at (0.3781, 0.2203, 0.4445).


So which one is most stable? That would be P, about 44 meV/atom below the next structure.